Record 1
The following is a GGA-PBE calculation of TaTc2RhF after structural relaxation, from Alexandria via LeMat-Bulk.

Lattice parameters (Å, degrees): 4.063 4.063 4.437 90.00 90.00 90.00
Space group P4/mmm (No. 123)
Symmetry-distinct sites (fractional):
Ta  0.000  0.000  0.000
Tc  0.000  0.500  0.500
Rh  0.500  0.500  0.000
F  0.500  0.500  0.500

## Properties
raw total energy: -7.91 eV/atom

Record 2
The following is a GGA-PBE calculation of Ba2CuSe2O6 after structural relaxation, from Alexandria via LeMat-Bulk.

Lattice parameters (Å, degrees): 5.9599 5.9599 17.7659 90.00 90.00 120.00
Space group R-3m (No. 166, hexagonal axes)
Symmetry-distinct sites (fractional):
Ba  0.0000  0.0000  0.2091
Cu  0.0000  0.0000  0.0000
Se  0.0000  0.0000  0.3959
O  0.0165  0.5083  0.7513

## Properties
raw total energy: -5.37 eV/atom

Record 3
The following is a GGA-PBE calculation of Sm3Al2Zn9 after structural relaxation, from Alexandria via LeMat-Bulk.

Lattice parameters (Å, degrees): 4.412 9.098 13.077 90.00 90.00 90.00
Space group Immm (No. 71)
Symmetry-distinct sites (fractional):
Sm  0.000  0.000  0.000
Sm  0.000  0.000  0.294
Al  0.000  0.191  0.500
Zn  0.000  0.280  0.140
Zn  0.000  0.362  0.342
Zn  0.000  0.500  0.000

## Properties
energy of formation from the pure elements: -0.3508 eV/atom

no.,calculated density (g/cm³)
1,11.31
2,5.40
3,6.92